Material: Tm2PCl
Method: DFT, PBE
State: relaxed

a = 3.901 Å, b = 3.901 Å, c = 7.183 Å
α = 74.24°, β = 74.24°, γ = 60.00°
Sites, in units of the cell vectors:
1 Cl 0.498 0.498 0.507
2 P 0.669 0.669 0.993
3 Tm 0.265 0.265 0.206
4 Tm 0.069 0.069 0.794

Its uncorrected energy is -5.4885 eV per atom. The space group is R3m. The uncorrected formation energy comes out at -1.439 eV per atom.